Run 1
A plane-wave DFT calculation with GGA-PBE was carried out for a relaxed La2Nd6Er3 crystal.

Lattice parameters (Å, degrees): 12.9431 12.9431 12.9431 154.38 154.38 36.55
Positions (direct):
La1 0.0592 0.0592 0.0000
La2 0.9408 0.9408 0.0000
Nd1 0.0965 0.5965 0.5000
Nd2 0.2023 0.2023 0.0000
Nd3 0.4035 0.9035 0.5000
Nd4 0.5965 0.0965 0.5000
Nd5 0.7977 0.7977 0.0000
Nd6 0.9035 0.4035 0.5000
Er1 0.3400 0.3400 0.0000
Er2 0.5000 0.5000 0.0000
Er3 0.6600 0.6600 0.0000

## Properties
The value obtained for the density is 6.75 g/cm3. Its volume is 36.804 Å³ per atom. The spin magnetization is 0.0 μB per formula unit.

***

Run 2
A plane-wave DFT calculation with GGA-PBE was carried out for a relaxed La2Nd6Er3 crystal.

Lattice parameters (Å, degrees): 6.2443 6.2443 11.9276 95.06 95.06 120.05
Positions (direct):
La1 0.1668 0.8332 0.0000
La2 0.8332 0.1668 0.0000
Nd1 0.0827 0.4152 0.7449
Nd2 0.2519 0.2519 0.2549
Nd3 0.4152 0.0827 0.7449
Nd4 0.5848 0.9173 0.2551
Nd5 0.7481 0.7481 0.7451
Nd6 0.9173 0.5848 0.2551
Er1 0.0000 0.0000 0.5000
Er2 0.3345 0.6655 0.5000
Er3 0.6655 0.3345 0.5000

## Properties
The value obtained for the density is 6.89 g/cm3. Its volume is 36.019 Å³ per atom. The spin magnetization is 0.0 μB per formula unit.

***

Going by the energies, run 2 is most stable and the next is 284 meV per atom up.

***

Run 1
A plane-wave DFT calculation with GGA-PBE was carried out for a relaxed La2NdEr7 crystal.

Lattice parameters (Å, degrees): 14.8447 14.8447 3.5142 90.00 90.00 154.54
Positions (direct):
La1 0.2066 0.7934 0.0000
La2 0.7934 0.2066 0.0000
Nd1 0.5000 0.5000 0.5000
Er1 0.0000 0.0000 0.0000
Er2 0.1557 0.3521 0.0000
Er3 0.3161 0.6839 0.5000
Er4 0.3521 0.1557 0.0000
Er5 0.6479 0.8443 0.0000
Er6 0.6839 0.3161 0.5000
Er7 0.8443 0.6479 0.0000

## Properties
The value obtained for the density is 7.94 g/cm3. Its volume is 33.292 Å³ per atom. The spin magnetization is 0.0 μB per formula unit.

***

Run 2
A plane-wave DFT calculation with GGA-PBE was carried out for a relaxed La2NdEr7 crystal.

Lattice parameters (Å, degrees): 9.5395 9.5395 7.0488 111.62 111.62 33.22
Positions (direct):
La1 0.1975 0.1975 0.1983
La2 0.8025 0.8025 0.8017
Nd1 0.0000 0.0000 0.5000
Er1 0.0000 0.0000 0.0000
Er2 0.1988 0.1988 0.7001
Er3 0.3944 0.3944 0.1439
Er4 0.3943 0.3943 0.6433
Er5 0.6057 0.6057 0.3567
Er6 0.6056 0.6056 0.8561
Er7 0.8012 0.8012 0.2999

## Properties
The value obtained for the density is 8.15 g/cm3. Its volume is 32.440 Å³ per atom. The spin magnetization is 0.0 μB per formula unit.

***

Going by the energies, run 2 is most stable and the next is 99 meV per atom up.

***

Run 1
A plane-wave DFT calculation with GGA-PBE was carried out for a relaxed LaNd2Er6 crystal.

Lattice parameters (Å, degrees): 10.7169 10.7169 5.0661 90.00 90.00 90.00
Positions (direct):
La1 0.0000 0.0000 0.0000
La2 0.5000 0.5000 0.5000
Nd1 0.1690 0.1690 0.5000
Nd2 0.3310 0.6690 0.0000
Nd3 0.6690 0.3310 0.0000
Nd4 0.8310 0.8310 0.5000
Er1 0.0014 0.3362 0.0000
Er2 0.1638 0.5014 0.5000
Er3 0.1688 0.8312 0.5000
Er4 0.3312 0.3312 0.0000
Er5 0.3362 0.0014 0.0000
Er6 0.4986 0.8362 0.5000
Er7 0.5014 0.1638 0.5000
Er8 0.6638 0.9986 0.0000
Er9 0.6688 0.6688 0.0000
Er10 0.8312 0.1688 0.5000
Er11 0.8362 0.4986 0.5000
Er12 0.9986 0.6638 0.0000

## Properties
The value obtained for the density is 8.17 g/cm3. Its volume is 32.325 Å³ per atom. The spin magnetization is 0.0 μB per formula unit.

***

Run 2
A plane-wave DFT calculation with GGA-PBE was carried out for a relaxed LaNd2Er6 crystal.

Lattice parameters (Å, degrees): 9.7575 9.7575 3.5408 90.00 90.00 120.00
Positions (direct):
La1 0.0000 0.0000 0.0000
Nd1 0.3333 0.6667 0.7633
Nd2 0.6667 0.3333 0.2367
Er1 0.0223 0.6693 0.2693
Er2 0.3307 0.3530 0.2693
Er3 0.3530 0.0223 0.7307
Er4 0.6470 0.9777 0.2693
Er5 0.6693 0.6470 0.7307
Er6 0.9777 0.3307 0.7307

## Properties
The value obtained for the density is 8.14 g/cm3. Its volume is 32.439 Å³ per atom. The spin magnetization is 0.0 μB per formula unit.

***

Going by the energies, run 1 is most stable and the next is 46 meV per atom up.

***

Run 1
A plane-wave DFT calculation with GGA-PBE was carried out for a relaxed La2NdEr2 crystal.

Lattice parameters (Å, degrees): 3.5790 5.7600 16.5382 90.00 90.00 90.00
Positions (direct):
La1 0.0000 0.0000 0.2137
La2 0.0000 0.0000 0.7863
La3 0.5000 0.5000 0.2863
La4 0.5000 0.5000 0.7137
Nd1 0.0000 0.5000 0.5000
Nd2 0.5000 0.0000 0.0000
Er1 0.0000 0.5000 0.0980
Er2 0.0000 0.5000 0.9020
Er3 0.5000 0.0000 0.4020
Er4 0.5000 0.0000 0.5980

## Properties
The value obtained for the density is 7.37 g/cm3. Its volume is 34.094 Å³ per atom. The spin magnetization is 0.0 μB per formula unit.

***

Run 2
A plane-wave DFT calculation with GGA-PBE was carried out for a relaxed La2NdEr2 crystal.

Lattice parameters (Å, degrees): 9.4298 9.4298 3.8956 90.00 90.00 90.00
Positions (direct):
La1 0.1281 0.3719 0.0000
La2 0.3719 0.8719 0.0000
La3 0.6281 0.1281 0.0000
La4 0.8719 0.6281 0.0000
Nd1 0.0000 0.0000 0.0000
Nd2 0.5000 0.5000 0.0000
Er1 0.1710 0.6710 0.5000
Er2 0.3290 0.1710 0.5000
Er3 0.6710 0.8290 0.5000
Er4 0.8290 0.3290 0.5000

## Properties
The value obtained for the density is 7.25 g/cm3. Its volume is 34.641 Å³ per atom. The spin magnetization is 0.0 μB per formula unit.

***

Going by the energies, run 1 is most stable and the next is 55 meV per atom up.